No. 1
The following is a DFT calculation (PBE-GGA) of La5ErTm2 after structural relaxation.

## Properties
electronic total energy: -4.546 eV per atom
formation enthalpy at 0 K: 1.8 eV/f.u.
magnetization: 0.00 Bohr magnetons per cell
ΔE to the lowest computed polymorph: 0.102 eV/atom
D(E_F): 24.152 states/eV/cell

abc: 10.380 10.380 11.552
angles: 56.26 56.26 102.22
Fractional coordinates of all 16 atoms:
Tm: 0.500 0.000 0.000
Tm: 0.000 0.500 0.500
Tm: 0.500 0.500 0.500
Tm: 0.500 0.500 0.000
La: 0.895 0.105 0.939
La: 0.105 0.895 0.439
La: 0.105 0.895 0.061
La: 0.696 0.305 0.091
La: 0.305 0.696 0.591
La: 0.695 0.304 0.409
La: 0.895 0.105 0.561
La: 0.304 0.695 0.909
La: 0.448 0.552 0.250
La: 0.552 0.448 0.750
Er: 0.909 0.091 0.250
Er: 0.091 0.909 0.750

No. 2
The following is a DFT calculation (PBE-GGA) of LaEr5Tm2 after structural relaxation.

## Properties
electronic total energy: -4.558 eV per atom
formation enthalpy at 0 K: 0.2 eV/f.u.
magnetization: 0.00 Bohr magnetons per cell
D(E_F): 41.786 states/eV/cell

abc: 7.073 7.072 19.929
angles: 90.00 90.00 90.00
Fractional coordinates of all 32 atoms:
Er: 0.253 0.000 0.000
Er: 0.747 0.000 0.000
Er: 0.500 0.250 0.625
Er: 0.747 0.500 0.500
Er: 0.253 0.500 0.750
Er: 0.000 0.250 0.125
Er: 0.000 0.750 0.375
Er: 0.500 0.750 0.875
Er: 0.747 0.500 0.250
Er: 0.747 0.500 0.750
Er: 0.747 0.000 0.750
Er: 0.253 0.500 0.250
Er: 0.500 0.250 0.125
Er: 0.253 0.500 0.500
Er: 0.500 0.750 0.375
Er: 0.000 0.250 0.625
Er: 0.000 0.750 0.875
Er: 0.253 0.000 0.750
Er: 0.253 0.000 0.250
Er: 0.747 0.000 0.250
La: 0.000 0.250 0.875
La: 0.000 0.250 0.375
La: 0.000 0.750 0.125
La: 0.000 0.750 0.625
Tm: 0.254 0.000 0.500
Tm: 0.500 0.250 0.875
Tm: 0.746 0.500 0.000
Tm: 0.500 0.250 0.375
Tm: 0.500 0.750 0.625
Tm: 0.254 0.500 0.000
Tm: 0.500 0.750 0.125
Tm: 0.746 0.000 0.500

No. 3
The following is a DFT calculation (PBE-GGA) of La5Er2Tm after structural relaxation.

## Properties
electronic total energy: -4.647 eV per atom
formation enthalpy at 0 K: 1.1 eV/f.u.
magnetization: 0.00 Bohr magnetons per cell
D(E_F): 23.927 states/eV/cell

abc: 5.757 8.971 11.558
angles: 90.00 90.00 108.72
Fractional coordinates of all 16 atoms:
La: 0.048 0.097 0.386
La: 0.048 0.097 0.114
La: 0.589 0.179 0.914
La: 0.952 0.903 0.614
La: 0.612 0.223 0.250
La: 0.952 0.903 0.886
La: 0.411 0.821 0.086
La: 0.411 0.821 0.414
La: 0.388 0.777 0.750
La: 0.589 0.179 0.586
Er: 0.216 0.433 0.583
Er: 0.784 0.567 0.083
Er: 0.216 0.433 0.917
Er: 0.784 0.567 0.417
Tm: 0.770 0.540 0.750
Tm: 0.230 0.460 0.250

No. 4
The following is a DFT calculation (PBE-GGA) of La2Er2Tm5 after structural relaxation.

## Properties
electronic total energy: -4.379 eV per atom
formation enthalpy at 0 K: 1.9 eV/f.u.
magnetization: 0.00 Bohr magnetons per cell
ΔE to the lowest computed polymorph: 0.048 eV/atom
D(E_F): 32.170 states/eV/cell

abc: 11.783 6.706 10.056
angles: 109.48 125.86 90.00
Fractional coordinates of all 18 atoms:
Tm: 0.809 0.257 0.106
Tm: 0.996 0.163 0.500
Tm: 0.797 0.757 0.106
Tm: 0.377 0.027 0.286
Tm: 0.591 0.241 0.714
Tm: 0.004 0.663 0.500
Tm: 0.203 0.650 0.894
Tm: 0.409 0.527 0.286
Tm: 0.623 0.741 0.714
Tm: 0.191 0.150 0.894
Er: 0.500 0.517 0.000
Er: 0.738 0.858 0.500
Er: 0.000 0.017 0.000
Er: 0.262 0.358 0.500
La: 0.873 0.435 0.745
La: 0.127 0.690 0.255
La: 0.628 0.190 0.255
La: 0.372 0.935 0.745